[1]
This record from Alexandria describes crystalline RbCrPt3 at its relaxed geometry. The functional is GGA-PBE. Values from VASP.

The structure in Quantum ESPRESSO input format:
```
&SYSTEM
  ibrav = 0, nat = 5, ntyp = 3
/
ATOMIC_SPECIES
Rb 85.47 Rb.upf
Cr 52.00 Cr.upf
Pt 195.08 Pt.upf
ATOMIC_POSITIONS angstrom
Rb 0.000 0.000 0.000
Cr 2.530 2.530 2.530
Pt 0.000 0.000 2.530
Pt 0.000 2.530 0.000
Pt 2.530 0.000 0.000
CELL_PARAMETERS angstrom
5.060 0.000 0.000
0.000 5.060 0.000
0.000 0.000 5.060
```

Computed properties:
Magnetization ... 5.05 μB/cell
Calculated formation energy ... 2.28 eV per atom
Energy relative to the lowest polymorph listed for this composition ... 1669 meV per atom

[2]
This record from Alexandria describes crystalline MnCd2As at its relaxed geometry. The functional is GGA-PBE. Values from VASP.

The structure in Quantum ESPRESSO input format:
```
&SYSTEM
  ibrav = 0, nat = 16, ntyp = 3
/
ATOMIC_SPECIES
Mn 54.94 Mn.upf
Cd 112.41 Cd.upf
As 74.92 As.upf
ATOMIC_POSITIONS angstrom
Mn 0.000 0.000 0.000
Mn 0.000 3.419 3.419
Mn 3.419 0.000 3.419
Mn 3.419 3.419 0.000
Cd 0.000 0.000 3.419
Cd 0.000 3.419 0.000
Cd 1.709 1.709 5.128
Cd 1.709 5.128 1.709
Cd 3.419 0.000 0.000
Cd 3.419 3.419 3.419
Cd 5.128 1.709 1.709
Cd 5.128 5.128 5.128
As 1.709 1.709 1.709
As 1.709 5.128 5.128
As 5.128 1.709 5.128
As 5.128 5.128 1.709
CELL_PARAMETERS angstrom
6.837 0.000 0.000
0.000 6.837 0.000
0.000 0.000 6.837
```

Computed properties:
Magnetization ... 15.69 μB/cell
Calculated formation energy ... 0.29 eV per atom

[3]
This record from Alexandria describes crystalline CaLaSbTe2 at its relaxed geometry. The functional is GGA-PBE. Values from VASP.

The structure in Quantum ESPRESSO input format:
```
&SYSTEM
  ibrav = 0, nat = 5, ntyp = 4
/
ATOMIC_SPECIES
Ca 40.08 Ca.upf
La 138.91 La.upf
Sb 121.76 Sb.upf
Te 127.60 Te.upf
ATOMIC_POSITIONS angstrom
Ca 0.000 0.000 0.000
La 3.037 3.037 2.992
Sb 3.037 3.037 0.000
Te 0.000 3.037 2.992
Te 3.037 0.000 2.992
CELL_PARAMETERS angstrom
6.075 0.000 0.000
0.000 6.075 0.000
0.000 0.000 5.984
```

Computed properties:
Magnetization ... 0.00 μB/cell
Formation energy from raw total energies ... -0.45 eV/atom
Energy relative to the lowest polymorph listed for this composition ... 0 meV per atom

[4]
This record from Alexandria describes crystalline BaCr2Se at its relaxed geometry. The functional is GGA-PBE. Values from VASP.

The structure in Quantum ESPRESSO input format:
```
&SYSTEM
  ibrav = 0, nat = 4, ntyp = 3
/
ATOMIC_SPECIES
Ba 137.33 Ba.upf
Cr 52.00 Cr.upf
Se 78.96 Se.upf
ATOMIC_POSITIONS angstrom
Ba 0.000 0.000 0.000
Cr 1.127 2.389 3.108
Cr 2.562 2.389 1.959
Se 1.844 0.000 2.534
CELL_PARAMETERS angstrom
4.149 0.000 0.000
0.000 4.777 0.000
-0.461 0.000 5.067
```

Computed properties:
Magnetization ... 1.79 μB/cell
Formation energy from raw total energies ... 0.31 eV/atom